# CsTb2Cu3TeS4 | OQMD via LeMat-Bulk | PBE-GGA | optimized geometry
# Total DFT energy (no corrections) (eV per atom): -4.833
# Size of the total moment (μB/atom): 0.000
data_CsTb2Cu3TeS4
_symmetry_space_group_name_H-M 'C m c m'
_symmetry_Int_Tables_number 63
_symmetry_space_group_name_Hall '-C 2c 2'
_cell_length_a 4.0675
_cell_length_b 14.1974
_cell_length_c 17.4798
_cell_angle_alpha 90.00
_cell_angle_beta 90.00
_cell_angle_gamma 90.00
loop_
_atom_site_label
_atom_site_type_symbol
_atom_site_fract_x
_atom_site_fract_y
_atom_site_fract_z
_atom_site_occupancy
Cs1 Cs 0.0000 0.0498 0.2500 1
Tb1 Tb 0.0000 0.1878 0.5832 1
Cu1 Cu 0.0000 0.3557 0.2500 1
Cu2 Cu 0.0000 0.4150 0.5367 1
Te1 Te 0.0000 0.2441 0.7500 1
S1 S 0.0000 0.1693 0.0693 1
S2 S 0.0000 0.4389 0.1036 1